Entry 1:
LiMnFe2: relaxed, GGA-PBE.

POSCAR file:
```
LiMnFe2
1.0
-0.3503 2.1993 -0.7691
-2.0968 0.8080 3.2656
4.1698 1.4731 2.3129
Fe Li Mn
2 1 1
Cartesian
4.1570 1.4686 2.3058 Fe
-0.2222 1.8574 1.8036 Fe
2.0709 0.7316 1.1487 Li
1.9715 2.6324 3.0205 Mn
```

Fermi-level density of states ... 4.03 states/eV/f.u.
ρ ... 6.18 g/cm³
E above lowest polymorph ... 107 meV/atom
Formation energy from the elements ... 0.311 eV/atom

---

Entry 2:
MnSiPH: relaxed, GGA-PBE.

POSCAR file:
```
MnSiPH
1.0
2.9569 0.0000 0.0000
0.0000 2.9567 0.0000
0.0000 0.0000 4.8140
Mn Si P H
1 1 1 1
Cartesian
0.0000 0.0000 3.8494 Mn
1.4784 1.4783 0.2854 Si
1.4784 1.4783 2.6017 P
0.0000 0.0000 0.6322 H
```

Fermi-level density of states ... 1.48 states/eV/f.u.
ρ ... 4.54 g/cm³
E above lowest polymorph ... 70 meV/atom

---

Entry 3:
LiAcSn2: relaxed, GGA-PBE.

POSCAR file:
```
LiAcSn2
1.0
-2.2582 -2.7284 -3.1815
3.8467 0.0785 -2.8066
0.9799 -2.8729 5.3871
Li Ac Sn
1 1 2
Cartesian
2.0605 -3.3345 0.6539 Li
3.1111 -1.1912 -1.9474 Ac
0.5647 -3.7487 -1.4943 Sn
0.5559 -4.3042 2.6083 Sn
```

Fermi-level density of states ... 2.95 states/eV/f.u.
ρ ... 6.71 g/cm³
Formation energy from the elements ... -0.391 eV/atom

---

Entry 4:
InSbN2: relaxed, GGA-PBE.

POSCAR file:
```
InSbN2
1.0
-4.9222 0.0108 4.4034
-2.5221 -2.0609 5.7454
-2.2249 1.3539 6.0692
Sb N In
1 2 1
Cartesian
0.0000 0.0000 0.0000 Sb
-8.6286 -0.6213 14.4727 N
-1.0405 -0.0749 1.7453 N
-4.8346 -0.3481 8.1090 In
```

Formation energy from raw total energies ... 0.639 eV per atom
Fermi-level density of states ... 1.73 states/eV/f.u.
ρ ... 6.80 g/cm³
E above lowest polymorph ... 207 meV/atom

---

Entry 5:
NaAlPCl2: relaxed, GGA-PBE.

POSCAR file:
```
NaAlPCl2
1.0
-0.2017 4.7875 2.0690
-5.2012 -0.3376 0.2740
0.3997 -2.1292 4.9658
P Na Al Cl
1 1 1 2
Cartesian
0.1999 -1.0646 2.4829 P
0.0000 0.0000 0.0000 Na
-2.5016 1.1604 3.6544 Al
-2.6006 -0.1688 0.1370 Cl
-0.1009 2.3938 1.0345 Cl
```

Formation energy from raw total energies ... 0.133 eV per atom
Fermi-level density of states ... 0.34 states/eV/f.u.
ρ ... 1.71 g/cm³
E above lowest polymorph ... 765 meV/atom

---

Entry 6:
Pu2PaTe: relaxed, GGA-PBE.

POSCAR file:
```
Pu2PaTe
1.0
4.4850 0.0000 0.0000
0.0000 4.6348 0.0000
0.0000 0.0000 4.6348
Pa Te Pu
1 1 2
Cartesian
2.2425 0.0000 0.0000 Pa
2.2425 2.3174 2.3174 Te
0.0000 0.0000 2.3174 Pu
0.0000 2.3174 0.0000 Pu
```

Formation energy from raw total energies ... -0.294 eV per atom
Fermi-level density of states ... 11.70 states/eV/f.u.
ρ ... 14.59 g/cm³
E above lowest polymorph ... 16 meV/atom

---

Entry 7:
AcCeSeO2: relaxed, GGA-PBE.

POSCAR file:
```
AcCeSeO2
1.0
-1.1423 -3.2939 2.0682
2.3265 1.1486 3.1144
-5.5748 4.3733 -0.0865
Ac Ce Se O
1 1 1 2
Cartesian
-1.4645 0.9701 0.7362 Ac
-2.8444 1.2038 4.3189 Ce
-4.9649 3.2889 2.4959 Se
-3.1121 0.0363 2.3115 O
-1.3777 2.2575 2.8346 O
```

Formation energy from raw total energies ... -2.964 eV per atom
Fermi-level density of states ... 6.89 states/eV/f.u.
ρ ... 7.46 g/cm³

---

Entry 8:
Ti3ZnN: relaxed, GGA-PBE.

POSCAR file:
```
Ti3ZnN
1.0
2.9544 -4.7797 0.0000
2.9544 4.7797 0.0000
0.0000 0.0000 5.8149
Zn N Ti
2 2 6
Cartesian
2.9544 0.0018 1.4537 Zn
2.9544 -0.0018 4.3611 Zn
2.9544 3.4854 1.4537 N
2.9544 -3.4854 4.3611 N
4.4537 2.3480 1.4537 Ti
1.4551 2.3480 1.4537 Ti
4.4537 -2.3480 4.3611 Ti
1.4551 -2.3480 4.3611 Ti
0.0000 0.0000 0.0000 Ti
0.0000 0.0000 2.9074 Ti
```

Formation energy from raw total energies ... -0.260 eV per atom
Fermi-level density of states ... 5.68 states/eV/f.u.
ρ ... 4.51 g/cm³
E above lowest polymorph ... 639 meV/atom

---

Entry 9:
Ca2Cd2Au: relaxed, GGA-PBE.

POSCAR file:
```
Ca2Cd2Au
1.0
-1.3559 -3.8703 6.2545
5.5247 -4.7344 -1.7320
3.1244 2.7708 2.3920
Ca Au Cd
4 2 4
Cartesian
5.0535 -2.4865 1.1208 Ca
5.2057 -5.1331 3.9878 Ca
2.2396 -3.3475 5.7936 Ca
2.0874 -0.7009 2.9266 Ca
0.0000 0.0000 0.0000 Au
2.0844 -4.3024 2.2612 Au
4.2873 -5.5149 0.7884 Cd
2.3297 -6.3535 4.3168 Cd
-0.1186 -3.0898 3.7341 Cd
1.8390 -2.2513 0.2057 Cd
```

Fermi-level density of states ... 3.47 states/eV/f.u.
ρ ... 6.19 g/cm³
E above lowest polymorph ... 123 meV/atom
Formation energy from the elements ... -0.359 eV/atom

---

Entry 10:
CaSeBrO4: relaxed, GGA-PBE.

POSCAR file:
```
CaSeBrO4
1.0
6.6809 0.7437 -0.4073
2.9147 6.0574 -0.4073
1.5243 1.0804 6.6335
Ca Se Br O
2 2 2 8
Cartesian
4.1119 2.9144 5.2002 Ca
7.0080 4.9670 0.6187 Ca
7.2594 5.1452 4.4183 Se
3.8605 2.7362 1.4006 Se
0.6996 0.4958 2.1707 Br
10.4203 7.3856 3.6481 Br
3.5383 2.5078 3.0064 O
7.5816 5.3737 2.8125 O
2.5229 3.3853 0.5895 O
5.1953 3.6823 1.1884 O
7.0900 6.6224 5.2293 O
4.0299 1.2591 0.5895 O
5.9246 4.1992 4.6304 O
8.5970 4.4961 5.2293 O
```

Formation energy from raw total energies ... -1.335 eV per atom
ρ ... 3.37 g/cm³

---

Entry 11:
BaRe3Bi: relaxed, GGA-PBE.

POSCAR file:
```
BaRe3Bi
1.0
5.1536 0.0000 0.0000
0.0000 5.1536 0.0000
0.0000 0.0000 5.1536
Re Bi Ba
3 1 1
Cartesian
0.0000 2.5768 0.0000 Re
0.0000 0.0000 2.5768 Re
2.5768 0.0000 0.0000 Re
0.0000 0.0000 0.0000 Bi
2.5768 2.5768 2.5768 Ba
```

Fermi-level density of states ... 6.35 states/eV/f.u.
ρ ... 10.98 g/cm³
E above lowest polymorph ... 0 meV/atom
Formation energy from the elements ... 2.476 eV/atom

---

Entry 12:
Zr3HgC: relaxed, GGA-PBE.

POSCAR file:
```
Zr3HgC
1.0
10.3618 0.0000 -2.2707
4.8902 6.3926 -3.9942
-4.8902 6.3926 3.9942
C Hg Zr
4 4 12
Cartesian
5.3263 5.5764 0.2941 C
5.0355 7.2087 -2.5648 C
5.3263 8.9227 0.2941 C
5.0355 3.8624 -2.5648 C
1.5296 5.5380 0.4245 Hg
-1.2389 5.5380 2.4344 Hg
8.8322 7.2472 -2.6952 Hg
11.6007 7.2472 -4.7051 Hg
9.1232 4.2120 -2.6379 Zr
6.4195 10.6046 -0.7681 Zr
1.2386 8.5731 0.3673 Zr
3.9423 2.1806 -1.5026 Zr
4.1837 7.2623 1.3774 Zr
6.4689 7.2623 -0.7892 Zr
6.1782 5.5229 -3.6481 Zr
3.8929 5.5229 -1.4815 Zr
1.3348 2.4762 0.3268 Zr
3.8461 8.8688 -1.4622 Zr
9.0270 10.3089 -2.5975 Zr
6.5158 3.9163 -0.8085 Zr
```

Fermi-level density of states ... 2.51 states/eV/f.u.
ρ ... 8.34 g/cm³
E above lowest polymorph ... 78 meV/atom
Formation energy from the elements ... -0.427 eV/atom

---

What is the ρ in the ninth record?
6.19 g/cm³

---

Which of these has the highest ρ?
Pu2PaTe